1 | A plane-wave DFT calculation with PBE was carried out for crystalline AcNd3S4 at its relaxed geometry.

Cell: 4.108 4.108 27.366 Å, 90.00 90.00 120.00°
Atoms (fractional coordinates):
Ac 0.333 0.667 0.250
Ac 0.667 0.333 0.750
Nd 0.000 0.000 0.000
Nd 0.000 0.000 0.500
Nd 0.333 0.667 0.620
Nd 0.333 0.667 0.880
Nd 0.667 0.333 0.120
Nd 0.667 0.333 0.380
S 0.000 0.000 0.180
S 0.000 0.000 0.320
S 0.000 0.000 0.680
S 0.000 0.000 0.820
S 0.333 0.667 0.060
S 0.333 0.667 0.440
S 0.667 0.333 0.560
S 0.667 0.333 0.940

Results
crystal system = hexagonal
total magnetization = 0.04 μB per atom
density of states at the Fermi level = 0.61 states/eV/atom

---

2 | A plane-wave DFT calculation with PBE was carried out for crystalline AcNd3S4 at its relaxed geometry.

Cell: 5.852 5.852 5.852 Å, 90.00 90.00 90.00°
Atoms (fractional coordinates):
Ac 0.000 0.000 0.000
Nd 0.000 0.500 0.500
Nd 0.500 0.000 0.500
Nd 0.500 0.500 0.000
S 0.000 0.000 0.500
S 0.000 0.500 0.000
S 0.500 0.000 0.000
S 0.500 0.500 0.500

Results
crystal system = cubic
total magnetization = 0.00 μB per atom
density of states at the Fermi level = 0.58 states/eV/atom

---

Result of the stability comparison: 2 is the least stable of them.

---

1 | A plane-wave DFT calculation with PBE was carried out for crystalline Ac3NdS6 at its relaxed geometry.

Cell: 8.653 8.653 8.653 Å, 91.85 91.85 91.85°
Atoms (fractional coordinates):
Ac 0.066 0.751 0.574
Ac 0.249 0.426 0.934
Ac 0.426 0.934 0.249
Ac 0.574 0.066 0.751
Ac 0.751 0.574 0.066
Ac 0.934 0.249 0.426
Nd 0.000 0.000 0.000
Nd 0.500 0.500 0.500
S 0.037 0.689 0.909
S 0.091 0.963 0.311
S 0.191 0.428 0.588
S 0.311 0.091 0.963
S 0.412 0.809 0.572
S 0.428 0.588 0.191
S 0.572 0.412 0.809
S 0.588 0.191 0.428
S 0.689 0.909 0.037
S 0.809 0.572 0.412
S 0.909 0.037 0.689
S 0.963 0.311 0.091

Results
crystal system = trigonal
total magnetization = 0.00 μB per atom
density of states at the Fermi level = 0.00 states/eV/atom

---

2 | A plane-wave DFT calculation with PBE was carried out for crystalline Ac3NdS6 at its relaxed geometry.

Cell: 7.211 7.736 12.814 Å, 90.00 123.30 90.00°
Atoms (fractional coordinates):
Ac 0.000 0.000 0.000
Ac 0.000 0.500 0.500
Ac 0.286 0.080 0.751
Ac 0.286 0.420 0.251
Ac 0.714 0.580 0.749
Ac 0.714 0.920 0.249
Nd 0.500 0.000 0.500
Nd 0.500 0.500 0.000
S 0.105 0.070 0.257
S 0.105 0.430 0.757
S 0.276 0.689 0.081
S 0.276 0.811 0.581
S 0.401 0.196 0.082
S 0.401 0.304 0.582
S 0.599 0.696 0.418
S 0.599 0.804 0.918
S 0.724 0.189 0.419
S 0.724 0.311 0.919
S 0.895 0.570 0.243
S 0.895 0.930 0.743

Results
crystal system = monoclinic
total magnetization = 0.00 μB per atom
density of states at the Fermi level = 0.00 states/eV/atom

---

Result of the stability comparison: 2 is the least stable of them.

---

1 | A plane-wave DFT calculation with PBE was carried out for crystalline Ac2NdSb at its relaxed geometry.

Cell: 4.349 4.349 7.853 Å, 90.00 90.00 90.00°
Atoms (fractional coordinates):
Ac 0.000 0.000 0.221
Ac 0.000 0.000 0.779
Nd 0.500 0.500 0.500
Sb 0.500 0.500 0.000

Results
crystal system = tetragonal
total magnetization = 0.00 μB per atom
density of states at the Fermi level = 1.53 states/eV/atom

---

2 | A plane-wave DFT calculation with PBE was carried out for crystalline Ac2NdSb at its relaxed geometry.

Cell: 5.206 5.206 5.102 Å, 90.00 90.00 90.00°
Atoms (fractional coordinates):
Ac 0.000 0.500 0.000
Ac 0.500 0.000 0.000
Nd 0.000 0.000 0.500
Sb 0.500 0.500 0.500

Results
crystal system = tetragonal
total magnetization = 0.00 μB per atom
density of states at the Fermi level = 0.84 states/eV/atom

---

3 | A plane-wave DFT calculation with PBE was carried out for crystalline Ac2NdSb at its relaxed geometry.

Cell: 5.890 5.890 5.890 Å, 60.00 60.00 60.00°
Atoms (fractional coordinates):
Ac 0.250 0.250 0.250
Ac 0.750 0.750 0.750
Nd 0.000 0.000 0.000
Sb 0.500 0.500 0.500

Results
crystal system = cubic
total magnetization = 0.07 μB per atom
density of states at the Fermi level = 1.53 states/eV/atom

---

Result of the stability comparison: 3 is the least stable of them.

---

1 | A plane-wave DFT calculation with PBE was carried out for crystalline AcNdSb at its relaxed geometry.

Cell: 5.326 5.326 4.418 Å, 90.00 90.00 120.00°
Atoms (fractional coordinates):
Ac 0.000 0.000 0.000
Nd 0.333 0.667 0.489
Sb 0.667 0.333 0.573

Results
crystal system = trigonal
total magnetization = 0.00 μB per atom
density of states at the Fermi level = 1.18 states/eV/atom

---

2 | A plane-wave DFT calculation with PBE was carried out for crystalline AcNdSb at its relaxed geometry.

Cell: 5.420 5.420 5.420 Å, 60.00 60.00 60.00°
Atoms (fractional coordinates):
Ac 0.000 0.000 0.000
Nd 0.500 0.500 0.500
Sb 0.750 0.750 0.750

Results
crystal system = cubic
total magnetization = 0.00 μB per atom
density of states at the Fermi level = 0.96 states/eV/atom

---

3 | A plane-wave DFT calculation with PBE was carried out for crystalline AcNdSb at its relaxed geometry.

Cell: 6.470 6.470 6.470 Å, 141.94 141.94 54.92°
Atoms (fractional coordinates):
Ac 0.000 0.000 0.000
Nd 0.704 0.704 0.000
Sb 0.326 0.326 0.000

Results
crystal system = tetragonal
total magnetization = 0.14 μB per atom
density of states at the Fermi level = 1.25 states/eV/atom

---

4 | A plane-wave DFT calculation with PBE was carried out for crystalline AcNdSb at its relaxed geometry.

Cell: 4.773 4.773 9.194 Å, 90.00 90.00 90.00°
Atoms (fractional coordinates):
Ac 0.250 0.250 0.147
Ac 0.750 0.750 0.853
Nd 0.250 0.750 0.500
Nd 0.750 0.250 0.500
Sb 0.250 0.250 0.765
Sb 0.750 0.750 0.235

Results
crystal system = tetragonal
total magnetization = 0.00 μB per atom
density of states at the Fermi level = 1.16 states/eV/atom

---

Result of the stability comparison: 1 is the least stable of them.

---

1 | A plane-wave DFT calculation with PBE was carried out for crystalline AcNdSb2 at its relaxed geometry.

Cell: 8.080 8.080 8.080 Å, 33.55 33.55 33.55°
Atoms (fractional coordinates):
Ac 0.000 0.000 0.000
Nd 0.500 0.500 0.500
Sb 0.245 0.245 0.245
Sb 0.755 0.755 0.755

Results
crystal system = trigonal
total magnetization = 0.00 μB per atom
density of states at the Fermi level = 0.13 states/eV/atom

---

2 | A plane-wave DFT calculation with PBE was carried out for crystalline AcNdSb2 at its relaxed geometry.

Cell: 4.632 4.632 15.387 Å, 90.00 90.00 120.00°
Atoms (fractional coordinates):
Ac 0.333 0.667 0.250
Ac 0.667 0.333 0.750
Nd 0.000 0.000 0.000
Nd 0.000 0.000 0.500
Sb 0.333 0.667 0.616
Sb 0.333 0.667 0.884
Sb 0.667 0.333 0.116
Sb 0.667 0.333 0.384

Results
crystal system = hexagonal
total magnetization = 0.00 μB per atom
density of states at the Fermi level = 0.13 states/eV/atom

---

Result of the stability comparison: 2 is the least stable of them.

---

1 | A plane-wave DFT calculation with PBE was carried out for crystalline AcNdSb2 at its relaxed geometry.

Cell: 5.661 5.661 5.661 Å, 60.00 60.00 60.00°
Atoms (fractional coordinates):
Ac 0.000 0.000 0.000
Nd 0.500 0.500 0.500
Sb 0.250 0.250 0.250
Sb 0.750 0.750 0.750

Results
crystal system = cubic
total magnetization = 0.00 μB per atom
density of states at the Fermi level = 0.72 states/eV/atom

---

2 | A plane-wave DFT calculation with PBE was carried out for crystalline AcNdSb2 at its relaxed geometry.

Cell: 8.403 8.403 8.403 Å, 31.81 31.81 31.81°
Atoms (fractional coordinates):
Ac 0.000 0.000 0.000
Nd 0.829 0.829 0.829
Sb 0.418 0.418 0.418
Sb 0.577 0.577 0.577

Results
crystal system = trigonal
total magnetization = 0.00 μB per atom
density of states at the Fermi level = 0.08 states/eV/atom

---

3 | A plane-wave DFT calculation with PBE was carried out for crystalline AcNdSb2 at its relaxed geometry.

Cell: 5.982 5.982 3.522 Å, 90.00 90.00 90.00°
Atoms (fractional coordinates):
Ac 0.000 0.000 0.000
Nd 0.500 0.500 0.000
Sb 0.000 0.500 0.500
Sb 0.500 0.000 0.500

Results
crystal system = tetragonal
total magnetization = 0.00 μB per atom
density of states at the Fermi level = 0.49 states/eV/atom

---

Result of the stability comparison: 1 is the least stable of them.

---

1 | A plane-wave DFT calculation with PBE was carried out for crystalline AcNd3Sb3 at its relaxed geometry.

Cell: 9.483 9.483 5.907 Å, 90.00 90.00 120.00°
Atoms (fractional coordinates):
Ac 0.333 0.667 0.250
Ac 0.667 0.333 0.750
Nd 0.010 0.253 0.250
Nd 0.243 0.990 0.250
Nd 0.253 0.243 0.750
Nd 0.747 0.757 0.250
Nd 0.757 0.010 0.750
Nd 0.990 0.747 0.750
Sb 0.057 0.421 0.750
Sb 0.364 0.943 0.750
Sb 0.421 0.364 0.250
Sb 0.579 0.636 0.750
Sb 0.636 0.057 0.250
Sb 0.943 0.579 0.250

Results
crystal system = hexagonal
total magnetization = 0.00 μB per atom
density of states at the Fermi level = 0.73 states/eV/atom

---

2 | A plane-wave DFT calculation with PBE was carried out for crystalline AcNd3Sb3 at its relaxed geometry.

Cell: 9.664 9.664 9.664 Å, 90.00 90.00 90.00°
Atoms (fractional coordinates):
Ac 0.070 0.430 0.570
Ac 0.430 0.570 0.070
Ac 0.570 0.070 0.430
Ac 0.930 0.930 0.930
Nd 0.073 0.573 0.927
Nd 0.180 0.820 0.320
Nd 0.182 0.182 0.182
Nd 0.318 0.818 0.682
Nd 0.320 0.180 0.820
Nd 0.427 0.427 0.427
Nd 0.573 0.927 0.073
Nd 0.680 0.680 0.680
Nd 0.682 0.318 0.818
Nd 0.818 0.682 0.318
Nd 0.820 0.320 0.180
Nd 0.927 0.073 0.573
Sb 0.002 0.257 0.882
Sb 0.118 0.502 0.243
Sb 0.243 0.118 0.502
Sb 0.257 0.882 0.002
Sb 0.382 0.498 0.743
Sb 0.498 0.743 0.382
Sb 0.502 0.243 0.118
Sb 0.618 0.998 0.757
Sb 0.743 0.382 0.498
Sb 0.757 0.618 0.998
Sb 0.882 0.002 0.257
Sb 0.998 0.757 0.618

Results
crystal system = cubic
total magnetization = 0.00 μB per atom
density of states at the Fermi level = 1.05 states/eV/atom

---

Result of the stability comparison: 1 is the least stable of them.

---

1 | A plane-wave DFT calculation with PBE was carried out for crystalline Ac2NdSe4 at its relaxed geometry.

Cell: 7.548 7.548 8.866 Å, 121.57 121.57 31.98°
Atoms (fractional coordinates):
Ac 0.144 0.144 0.206
Ac 0.856 0.856 0.794
Nd 0.500 0.500 0.500
Se 0.168 0.168 0.585
Se 0.445 0.445 0.127
Se 0.555 0.555 0.873
Se 0.832 0.832 0.415

Results
crystal system = monoclinic
total magnetization = 0.00 μB per atom
density of states at the Fermi level = 0.12 states/eV/atom

---

2 | A plane-wave DFT calculation with PBE was carried out for crystalline Ac2NdSe4 at its relaxed geometry.

Cell: 7.697 7.697 14.531 Å, 90.00 90.00 148.21°
Atoms (fractional coordinates):
Ac 0.131 0.869 0.575
Ac 0.131 0.869 0.925
Ac 0.869 0.131 0.075
Ac 0.869 0.131 0.425
Nd 0.372 0.628 0.750
Nd 0.628 0.372 0.250
Se 0.016 0.984 0.750
Se 0.219 0.781 0.126
Se 0.219 0.781 0.374
Se 0.500 0.500 0.000
Se 0.500 0.500 0.500
Se 0.781 0.219 0.626
Se 0.781 0.219 0.874
Se 0.984 0.016 0.250

Results
crystal system = orthorhombic
total magnetization = 0.00 μB per atom
density of states at the Fermi level = 0.30 states/eV/atom

---

Result of the stability comparison: 2 is the least stable of them.

---

1 | A plane-wave DFT calculation with PBE was carried out for crystalline Ac4NdSe5 at its relaxed geometry.

Cell: 18.160 18.160 18.160 Å, 14.00 14.00 14.00°
Atoms (fractional coordinates):
Ac 0.103 0.103 0.103
Ac 0.299 0.299 0.299
Ac 0.701 0.701 0.701
Ac 0.897 0.897 0.897
Nd 0.500 0.500 0.500
Se 0.000 0.000 0.000
Se 0.197 0.197 0.197
Se 0.402 0.402 0.402
Se 0.598 0.598 0.598
Se 0.803 0.803 0.803

Results
crystal system = trigonal
total magnetization = 0.00 μB per atom
density of states at the Fermi level = 0.54 states/eV/atom

---

2 | A plane-wave DFT calculation with PBE was carried out for crystalline Ac4NdSe5 at its relaxed geometry.

Cell: 11.695 11.695 11.695 Å, 158.22 148.94 38.25°
Atoms (fractional coordinates):
Ac 0.099 0.099 0.000
Ac 0.303 0.303 0.000
Ac 0.697 0.697 0.000
Ac 0.901 0.901 0.000
Nd 0.500 0.500 0.000
Se 0.000 0.500 0.500
Se 0.201 0.701 0.500
Se 0.405 0.905 0.500
Se 0.595 0.095 0.500
Se 0.799 0.299 0.500

Results
crystal system = orthorhombic
total magnetization = 0.00 μB per atom
density of states at the Fermi level = 0.64 states/eV/atom

---

Result of the stability comparison: 2 is the least stable of them.